Record 1
Material: Tb3PmH8
Method: DFT, PBE
State: optimized geometry

Properties
Space group: Pm-3m
Theoretical density in g/cm³: 7.2
DFT total energy in eV per atom: -4.4918

POSCAR file:
```
Tb3PmH8
1.0
-3.239 2.172 -3.537
-3.310 -4.060 0.537
-2.506 2.554 3.863
Pm H Tb
1 8 3
direct
0.000 0.000 0.000 Pm
0.745 0.255 0.255 H
0.745 0.255 0.745 H
0.255 0.745 0.255 H
0.255 0.255 0.745 H
0.745 0.745 0.255 H
0.255 0.745 0.745 H
0.745 0.745 0.745 H
0.255 0.255 0.255 H
0.500 0.500 0.000 Tb
0.500 0.000 0.500 Tb
0.000 0.500 0.500 Tb
```

=====

Record 2
Material: TbPmH
Method: DFT, PBE
State: optimized geometry

Properties
Space group: I4mm
Theoretical density in g/cm³: 7.1
DFT total energy in eV per atom: -4.3677

POSCAR file:
```
TbPmH
1.0
-2.078 2.103 -1.676
-2.411 -2.395 -0.016
0.094 2.275 6.184
H Tb Pm
1 1 1
direct
0.221 0.221 0.442 H
0.745 0.745 0.491 Tb
0.034 0.034 0.068 Pm
```

=====

Record 3
Material: TbPmH
Method: DFT, PBE
State: optimized geometry

Properties
Space group: P3m1
Theoretical density in g/cm³: 7.5
DFT total energy in eV per atom: -4.4678

POSCAR file:
```
TbPmH
1.0
3.681 0.000 0.000
-1.840 3.188 0.000
0.000 0.000 5.722
H Pm Tb
1 1 1
direct
0.333 0.667 0.660 H
0.000 0.000 0.911 Pm
0.667 0.333 0.429 Tb
```

=====

Record 4
Material: Tb2PmH8
Method: DFT, PBE
State: optimized geometry

Properties
Space group: Immm
Theoretical density in g/cm³: 7.3
DFT total energy in eV per atom: -4.3295

POSCAR file:
```
Tb2PmH8
1.0
-2.463 -1.763 -2.123
-1.174 -3.180 4.002
-2.136 6.008 0.711
Tb H Pm
2 8 1
direct
0.169 0.670 0.339 Tb
0.831 0.330 0.661 Tb
0.000 0.280 0.000 H
0.157 0.157 0.314 H
0.664 0.899 0.328 H
0.336 0.101 0.672 H
0.000 0.720 0.000 H
0.843 0.843 0.686 H
0.336 0.572 0.672 H
0.664 0.428 0.328 H
0.500 0.000 0.000 Pm
```